Record 1
A plane-wave DFT calculation with PBE-GGA was carried out for HoPuSc14 after structural relaxation.

POSCAR file:
```
HoPuSc14
1.0
-5.437 2.416 -2.384
-1.082 -5.916 2.217
-2.321 3.882 9.229
Sc Pu Ho
14 1 1
direct
0.663 0.912 0.254
0.602 0.398 0.732
0.602 0.398 0.268
0.663 0.912 0.746
0.808 0.192 0.500
0.877 0.706 0.500
0.294 0.123 0.500
0.148 0.852 0.237
0.088 0.337 0.746
0.878 0.545 0.000
0.088 0.337 0.254
0.455 0.122 0.000
0.148 0.852 0.763
0.356 0.644 0.500
0.939 0.061 0.000
0.394 0.606 0.000
```

Volume (Å³/atom): 24.9
Raw total energy (Ry/atom): -0.48931
Magnetization (μB/atom): 0.49
Energy relative to the elements (kcal/mol of atoms): 1.5

Record 2
A plane-wave DFT calculation with PBE-GGA was carried out for Ho2PuSc8 after structural relaxation.

POSCAR file:
```
Ho2PuSc8
1.0
5.125 0.000 0.000
0.000 7.365 -0.222
-2.563 -3.441 7.650
Ho Sc Pu
2 8 1
direct
0.201 0.700 0.402
0.799 0.300 0.598
0.000 0.286 0.999
0.000 0.714 0.001
0.368 0.578 0.736
0.632 0.422 0.264
0.633 0.844 0.266
0.838 0.837 0.675
0.162 0.163 0.325
0.367 0.156 0.734
0.500 0.000 0.000
```

Volume (Å³/atom): 25.9
Raw total energy (Ry/atom): -0.48575
Magnetization (μB/atom): 0.61
Energy relative to the elements (kcal/mol of atoms): 3.0

Record 3
A plane-wave DFT calculation with PBE-GGA was carried out for HoPuSc2 after structural relaxation.

POSCAR file:
```
HoPuSc2
1.0
3.361 0.000 0.000
1.681 2.911 0.000
1.681 0.970 10.763
Ho Pu Sc
1 1 2
direct
0.500 0.500 0.499
0.666 0.666 0.001
0.081 0.081 0.756
0.252 0.252 0.244
```

Volume (Å³/atom): 26.3
Raw total energy (Ry/atom): -0.57314
Magnetization (μB/atom): 1.35
Energy relative to the elements (kcal/mol of atoms): 2.2

Record 4
A plane-wave DFT calculation with PBE-GGA was carried out for Ho2Pu3ScSe6 after structural relaxation.

POSCAR file:
```
Ho2Pu3ScSe6
1.0
4.044 0.000 0.000
0.000 8.190 0.216
-2.022 -2.437 8.570
Sc Se Pu Ho
1 6 3 2
direct
0.500 0.000 0.000
0.000 0.763 0.000
0.669 0.579 0.337
0.661 0.085 0.322
0.339 0.915 0.678
0.331 0.421 0.663
0.000 0.237 0.000
0.500 0.500 0.000
0.832 0.165 0.664
0.168 0.835 0.336
0.835 0.668 0.669
0.165 0.332 0.331
```

Volume (Å³/atom): 23.8
Raw total energy (Ry/atom): -0.60582
Magnetization (μB/atom): 1.47
Uncorrected formation energy (eV/atom): -1.627

Record 5
A plane-wave DFT calculation with PBE-GGA was carried out for Ho4Pu3ScSe8 after structural relaxation.

POSCAR file:
```
Ho4Pu3ScSe8
1.0
-6.394 2.979 -4.052
-3.021 -7.557 -0.789
1.834 2.875 7.385
Ho Se Pu Sc
4 8 3 1
direct
0.500 0.000 0.500
0.500 0.000 0.000
0.000 0.000 0.500
0.000 0.000 0.000
0.751 0.757 0.502
0.246 0.753 0.493
0.752 0.250 0.994
0.242 0.250 0.994
0.754 0.247 0.507
0.249 0.243 0.498
0.248 0.750 0.006
0.758 0.750 0.006
0.500 0.500 0.000
0.500 0.500 0.500
0.000 0.500 0.500
0.000 0.500 0.000
```

Volume (Å³/atom): 24.0
Raw total energy (Ry/atom): -0.57160
Magnetization (μB/atom): 1.07
Uncorrected formation energy (eV/atom): -1.807

Record 6
A plane-wave DFT calculation with PBE-GGA was carried out for Ho2PuScSe4 after structural relaxation.

POSCAR file:
```
Ho2PuScSe4
1.0
-1.885 0.833 3.449
5.524 -2.364 3.590
0.808 6.840 -1.209
Se Sc Pu Ho
4 1 1 2
direct
0.000 0.758 0.250
0.500 0.240 0.244
0.000 0.242 0.750
0.500 0.760 0.756
0.000 0.000 0.000
0.500 0.500 0.000
0.500 0.000 0.500
0.000 0.500 0.500
```

Volume (Å³/atom): 23.2
Raw total energy (Ry/atom): -0.52330
Magnetization (μB/atom): 0.74
Uncorrected formation energy (eV/atom): -1.650